Material: ZrZnP2Cl
Method: DFT, PBE-GGA
State: relaxed

- Raw formation energy: 0.298 eV/atom
- VASP energy: -4.199 eV per atom
- V: 99 Å³ per cell
- Energy relative to the lowest polymorph listed for this composition: 1.46 eV per formula unit
- Crystal system: tetragonal

Cell lengths 4.592, 4.592, 4.716 Å; angles 90.00, 90.00, 90.00 degrees
Element x y z (fractional)
1 P 0.000 0.500 0.000
2 P 0.500 0.000 0.000
3 Zn 0.000 0.000 0.000
4 Zr 0.500 0.500 0.500
5 Cl 0.000 0.000 0.500

***

Material: Ba2TaTcO6
Method: DFT, PBE-GGA
State: relaxed

- Raw formation energy: -2.530 eV/atom
- VASP energy: -8.112 eV per atom
- V: 139 Å³ per cell
- Crystal system: cubic

Cell lengths 5.809, 5.809, 5.812 Å; angles 60.00, 60.00, 89.97 degrees
Each line ends with the local moment (μB).
Element x y z (fractional)
1 Ba 0.250 0.750 0.500  0.00
2 Ba 0.750 0.250 0.500  0.00
3 Ta 0.500 0.500 0.000  -0.08
4 Tc 0.000 0.000 0.000  1.60
5 O 0.254 0.746 0.000  0.06
6 O 0.746 0.746 0.000  0.05
7 O 0.254 0.254 0.492  0.05
8 O 0.746 0.254 0.000  0.06
9 O 0.254 0.254 0.000  0.05
10 O 0.746 0.746 0.508  0.05

***

What is the V in the second record?
139 Å³ per cell

***

Which value of raw formation energy does entry 1 give?
0.298 eV/atom

***

What is the formula in the second record?
Ba2TaTcO6

***

raw formation energy of number 2 (Ba2TaTcO6)?
-2.530 eV/atom